Density functional theory data (GGA+U) for NaHg2MoF8 after structural relaxation.

Cell lengths 4.7294, 5.4153, 7.3509 Å; angles 90.12, 90.01, 91.38 degrees
Closest atoms and distances in Å follow each position.
Space group P-1 (No. 2)
Symmetry-distinct sites (fractional):
Na1 0.0000 0.0000 0.0000 [1 per cell]  6 F 2.23-2.47
Hg1 0.4989 0.4996 0.7562 [2 per cell]  6 F 2.28-2.42
Mo1 0.0000 0.0000 0.5000 [1 per cell]  6 F 2.11-2.12
F1 0.1321 0.7804 0.2806 [2 per cell]  1 Mo 2.11, 1 Hg 2.35
F2 0.1330 0.7822 0.7195 [2 per cell]  1 Mo 2.11, 1 Hg 2.35
F3 0.3527 0.2491 0.4998 [2 per cell]  1 Mo 2.12
F4 0.3715 0.2605 0.0002 [2 per cell]  1 Na 2.23, 2 Hg 2.28-2.29

Output
Total energy (eV per atom): -4.03